NaVRhO2: relaxed, PBE with a Hubbard U.

Cell: 4.1192 4.6068 4.1192 Å, 90.00 90.00 90.00°
Last column: nearest neighbours and their distance in Å.
Fractional positions:
Na1 0.5000 0.5000 0.5000  4 V 2.91, 8 O 3.09
Rh1 0.0000 0.0000 0.0000  4 O 2.06, 2 V 2.30
O1 0.0000 0.0000 0.5000  2 Rh 2.06
O2 0.5000 0.0000 0.0000  2 Rh 2.06
V1 0.0000 0.5000 0.0000  2 Rh 2.30

Values from the calculation:
The value obtained for the volume is 78.2 Å³/cell. The calculation puts the total energy at -23.782 eV/f.u.